1.
Crystalline Pm3NpU3N8 at its relaxed geometry. Source: Alexandria, functional PBE.

Cell: 6.9894 6.9894 7.0113 Å, 119.90 90.00 120.00°
With the nearest neighbours (Å) after each atom.
Atoms (fractional coordinates):
U (0.5000, 0.0000, 0.5000)  6 N 2.34-2.38
U (0.5000, 0.5000, 0.5000)  6 N 2.34-2.38
U (0.0000, 0.5000, 0.5000)  6 N 2.34-2.38
N (0.2276, 0.4551, 0.6967)  1 Np 2.26, 2 U 2.34
N (0.2584, 0.0309, 0.3033)  1 Np 2.26, 2 U 2.34
N (0.2276, 0.9691, 0.6967)  1 Np 2.26, 2 U 2.34
N (0.7724, 0.0309, 0.3033)  1 Np 2.26, 2 U 2.34
N (0.7416, 0.9691, 0.6967)  1 Np 2.26, 2 U 2.34
N (0.7724, 0.5449, 0.3033)  1 Np 2.26, 2 U 2.34
N (0.2598, 0.5196, 0.2794)  3 U 2.38, 3 Pm 2.58
N (0.7402, 0.4804, 0.7206)  3 U 2.38, 3 Pm 2.58
Pm (0.5000, 0.5000, 0.0000)  6 N 2.58-2.64
Pm (0.0000, 0.5000, 0.0000)  6 N 2.58-2.64
Pm (0.0000, 0.0000, 0.0000)  6 N 2.58-2.64
Np (0.0000, 0.0000, 0.5000)  6 N 2.26

## Properties
Uncorrected formation energy   -1259 meV/atom

---

2.
Crystalline Pm2NpWN5 at its relaxed geometry. Source: Alexandria, functional PBE.

Cell: 3.5105 7.0953 10.5112 Å, 90.00 90.00 104.32°
With the nearest neighbours (Å) after each atom.
Atoms (fractional coordinates):
Pm (0.8926, 0.7853, 0.1844)  6 N 2.43-2.62
Pm (0.8561, 0.7122, 0.8042)  7 N 2.55-2.73
Pm (0.1439, 0.2878, 0.3042)  7 N 2.55-2.73
Pm (0.1074, 0.2147, 0.6844)  6 N 2.43-2.62
N (0.0401, 0.0801, 0.0413)  2 W 1.98
N (0.9599, 0.9199, 0.5413)  2 W 1.98
N (0.3708, 0.7416, 0.0021)  1 W 2.15, 1 Np 2.23
N (0.6799, 0.3597, 0.8864)  2 Np 2.24, 1 W 2.28
N (0.5101, 0.0203, 0.2846)  1 W 1.88
N (0.7179, 0.4358, 0.1507)  2 Np 2.28, 1 Pm 2.43
N (0.2821, 0.5642, 0.6507)  2 Np 2.28, 1 Pm 2.43
N (0.4899, 0.9797, 0.7846)  1 W 1.88
N (0.6292, 0.2584, 0.5021)  1 W 2.15, 1 Np 2.23
N (0.3201, 0.6403, 0.3864)  2 Np 2.24, 1 W 2.28
Np (0.2090, 0.4180, 0.0126)  6 N 2.23-2.34
Np (0.7910, 0.5820, 0.5126)  6 N 2.23-2.34
W (0.5233, 0.0467, 0.9577)  3 N 1.88-1.98
W (0.4767, 0.9533, 0.4577)  3 N 1.88-1.98

## Properties
Uncorrected formation energy   -1083 meV/atom

---

3.
Crystalline Pm3Np3WN8 at its relaxed geometry. Source: Alexandria, functional PBE.

Cell: 6.7834 6.7834 6.9569 Å, 119.18 89.99 120.01°
With the nearest neighbours (Å) after each atom.
Atoms (fractional coordinates):
Np (0.5000, 0.0000, 0.5000)  6 N 2.34-2.35
Np (0.0000, 0.5000, 0.5000)  6 N 2.34-2.35
Np (0.5000, 0.5000, 0.5000)  6 N 2.34-2.35
Pm (0.0000, 0.5000, 0.0000)  6 N 2.51-2.55
Pm (0.5000, 0.5000, 0.0000)  6 N 2.51-2.55
Pm (0.0000, 0.0000, 0.0000)  6 N 2.51-2.55
N (0.2576, 0.5153, 0.2729)  3 Np 2.35, 3 Pm 2.51
N (0.2200, 0.4400, 0.7004)  1 W 2.14, 2 Np 2.34-2.35
N (0.2396, 0.0196, 0.2996)  1 W 2.14, 2 Np 2.34-2.35
N (0.7604, 0.9804, 0.7004)  1 W 2.14, 2 Np 2.34-2.35
N (0.7424, 0.4847, 0.7271)  3 Np 2.35, 3 Pm 2.51
N (0.7801, 0.0195, 0.2996)  1 W 2.14, 2 Np 2.34
N (0.2199, 0.9805, 0.7004)  1 W 2.14, 2 Np 2.34
N (0.7800, 0.5600, 0.2996)  1 W 2.14, 2 Np 2.34-2.35
W (0.0000, 0.0000, 0.5000)  6 N 2.14

## Properties
Uncorrected formation energy   -1082 meV/atom

---

4.
Crystalline PmYNpN3 at its relaxed geometry. Source: Alexandria, functional PBE.

Cell: 3.6051 7.1899 8.7045 Å, 97.86 90.00 90.00°
With the nearest neighbours (Å) after each atom.
Atoms (fractional coordinates):
N (0.2500, 0.6066, 0.8788)  3 Y 2.34-2.46, 2 Pm 2.45
N (0.7500, 0.2212, 0.5916)  3 Np 2.16-2.39, 1 Y 2.36
N (0.7500, 0.3934, 0.1212)  3 Y 2.34-2.46, 2 Pm 2.45
N (0.7500, 0.8985, 0.1507)  1 Np 2.20, 1 Pm 2.45
N (0.2500, 0.1015, 0.8493)  1 Np 2.20, 1 Pm 2.45
N (0.2500, 0.7788, 0.4084)  3 Np 2.16-2.39, 1 Y 2.36
Np (0.7500, 0.9434, 0.4064)  4 N 2.16-2.39
Np (0.2500, 0.0566, 0.5936)  4 N 2.16-2.39
Pm (0.7500, 0.8356, 0.8671)  5 N 2.45-2.65
Pm (0.2500, 0.1644, 0.1329)  5 N 2.45-2.65
Y (0.7500, 0.3713, 0.8507)  4 N 2.34-2.46
Y (0.2500, 0.6287, 0.1493)  4 N 2.34-2.46

## Properties
Uncorrected formation energy   -1054 meV/atom

---

5.
Crystalline Pm2YNpN4 at its relaxed geometry. Source: Alexandria, functional PBE.

Cell: 3.5270 6.0642 6.1097 Å, 108.88 90.00 90.00°
With the nearest neighbours (Å) after each atom.
Atoms (fractional coordinates):
N (0.5000, 0.7652, 0.7730)  2 Np 2.40, 1 Y 2.44, 3 Pm 2.52-2.60
N (0.5000, 0.2348, 0.2270)  2 Np 2.40, 1 Y 2.44, 3 Pm 2.52-2.60
N (0.0000, 0.7605, 0.2260)  1 Np 2.30, 2 Y 2.47, 2 Pm 2.54
N (0.0000, 0.2395, 0.7740)  1 Np 2.30, 2 Y 2.47, 2 Pm 2.54
Np (0.0000, 0.0000, 0.0000)  6 N 2.30-2.40
Pm (0.5000, 0.0000, 0.5000)  6 N 2.52-2.54
Pm (0.0000, 0.5000, 0.5000)  6 N 2.60-2.65
Y (0.5000, 0.5000, 0.0000)  6 N 2.44-2.47

## Properties
Uncorrected formation energy   -1438 meV/atom

---

6.
Crystalline Pm3Y2NpN6 at its relaxed geometry. Source: Alexandria, functional PBE.

Cell: 6.0895 6.0895 6.1260 Å, 99.54 99.54 120.01°
With the nearest neighbours (Å) after each atom.
Atoms (fractional coordinates):
N (0.0760, 0.3903, 0.2280)  1 Np 2.32, 2 Y 2.47, 2 Pm 2.52
N (0.3903, 0.0760, 0.2280)  1 Np 2.32, 2 Y 2.47, 2 Pm 2.52
N (0.9240, 0.6097, 0.7720)  1 Np 2.32, 2 Y 2.47, 2 Pm 2.52
N (0.7622, 0.7622, 0.2293)  1 Np 2.33, 2 Y 2.47, 2 Pm 2.53
N (0.6097, 0.9240, 0.7720)  1 Np 2.32, 2 Y 2.47, 2 Pm 2.52
N (0.2378, 0.2378, 0.7707)  1 Np 2.33, 2 Y 2.47, 2 Pm 2.53
Np (0.0000, 0.0000, 0.0000)  6 N 2.32-2.33
Y (0.6665, 0.3335, 0.0000)  6 N 2.47
Y (0.3335, 0.6665, 0.0000)  6 N 2.47
Pm (0.1681, 0.8319, 0.5000)  6 N 2.52-2.65
Pm (0.8319, 0.1681, 0.5000)  6 N 2.52-2.65
Pm (0.5000, 0.5000, 0.5000)  6 N 2.52-2.66

## Properties
Uncorrected formation energy   -1493 meV/atom

---

7.
Crystalline Pm2ZrNpN6 at its relaxed geometry. Source: Alexandria, functional PBE.

Cell: 5.7935 5.8978 8.2783 Å, 90.00 89.98 90.00°
With the nearest neighbours (Å) after each atom.
Atoms (fractional coordinates):
Pm (0.5142, 0.5463, 0.7513)  6 N 2.43-2.71
Pm (0.9858, 0.0463, 0.7487)  6 N 2.43-2.71
Pm (0.0142, 0.9537, 0.2513)  6 N 2.43-2.71
Pm (0.4858, 0.4537, 0.2487)  6 N 2.43-2.71
N (0.6037, 0.0349, 0.2571)  1 Np 2.11, 1 Zr 2.22
N (0.8963, 0.5349, 0.2429)  1 Np 2.11, 1 Zr 2.22
N (0.2840, 0.6997, 0.0536)  1 Np 2.07, 1 Zr 2.21
N (0.1037, 0.4651, 0.7571)  1 Np 2.11, 1 Zr 2.22
N (0.7840, 0.8003, 0.5536)  1 Np 2.07, 1 Zr 2.21
N (0.7971, 0.7840, 0.9408)  1 Np 2.10, 1 Zr 2.20
N (0.2029, 0.2160, 0.0592)  1 Np 2.10, 1 Zr 2.20
N (0.3963, 0.9651, 0.7429)  1 Np 2.11, 1 Zr 2.22
N (0.2971, 0.7160, 0.4408)  1 Np 2.10, 1 Zr 2.20
N (0.7160, 0.3003, 0.9464)  1 Np 2.07, 1 Zr 2.21
N (0.2160, 0.1997, 0.4464)  1 Np 2.07, 1 Zr 2.21
N (0.7029, 0.2840, 0.5592)  1 Np 2.10, 1 Zr 2.20
Zr (0.5000, 0.0000, 0.0000)  6 N 2.20-2.22
Zr (0.0000, 0.5000, 0.5000)  6 N 2.20-2.22
Np (0.5000, 0.0000, 0.5000)  6 N 2.07-2.11
Np (0.0000, 0.5000, 0.0000)  6 N 2.07-2.11

## Properties
Uncorrected formation energy   -1142 meV/atom

---

8.
Crystalline PmZrNp2N4 at its relaxed geometry. Source: Alexandria, functional PBE.

Cell: 3.4207 5.9753 5.9309 Å, 109.32 90.00 90.00°
With the nearest neighbours (Å) after each atom.
Atoms (fractional coordinates):
N (0.0000, 0.2244, 0.7356)  3 Np 2.33-2.49, 1 Zr 2.38, 2 Pm 2.53
N (0.5000, 0.7676, 0.7486)  3 Np 2.34-2.47, 2 Zr 2.39, 1 Pm 2.52
N (0.5000, 0.2324, 0.2514)  3 Np 2.34-2.47, 2 Zr 2.39, 1 Pm 2.52
N (0.0000, 0.7756, 0.2644)  3 Np 2.33-2.49, 1 Zr 2.38, 2 Pm 2.53
Pm (0.5000, 0.5000, 0.0000)  6 N 2.52-2.53
Zr (0.0000, 0.0000, 0.0000)  6 N 2.38-2.39
Np (0.5000, 0.0000, 0.5000)  6 N 2.33-2.34
Np (0.0000, 0.5000, 0.5000)  6 N 2.47-2.49

## Properties
Uncorrected formation energy   -1337 meV/atom

---

Values for density, Mg/m³, ordered as above
10.26, 10.22, 10.45, 7.62, 9.02, 8.35, 8.25, 11.12
Values for E_tot, eV/cell, ordered as above
-146.549, -173.538, -148.861, -110.915, -73.709, -107.992, -184.727, -83.181